1.
An optimized crystal structure of LiMn2Re. Source: Alexandria, functional PBE.

Lattice parameters (Å, degrees): 2.924 2.924 5.954 90.00 90.00 90.00
Element x y z (fractional)
Li 0.000 0.000 0.000
Mn 0.500 0.500 0.242
Mn 0.500 0.500 0.758
Re 0.000 0.000 0.500

Values from the calculation:
* M_tot: 3.98 μB/f.u.
* Fermi-level density of states: 3.5 states/eV/f.u.
* crystal system: tetragonal
* formation energy from the elements: 0.287 eV/atom

---

2.
An optimized crystal structure of Li2MnRe. Source: Alexandria, functional PBE.

Lattice parameters (Å, degrees): 2.642 2.642 9.146 90.00 90.00 111.47
Element x y z (fractional)
Li 0.000 0.000 0.000
Li 0.500 0.500 0.285
Mn 0.500 0.500 0.753
Re 0.000 0.000 0.536

Values from the calculation:
* M_tot: 2.12 μB/f.u.
* Fermi-level density of states: 2.7 states/eV/f.u.
* crystal system: orthorhombic
* formation energy from the elements: 0.230 eV/atom

---

3.
An optimized crystal structure of LiMn2Re. Source: Alexandria, functional PBE.

Lattice parameters (Å, degrees): 4.112 4.112 4.112 60.00 60.00 60.00
Element x y z (fractional)
Li 0.000 0.000 0.000
Mn 0.250 0.250 0.250
Mn 0.500 0.500 0.500
Re 0.750 0.750 0.750

Values from the calculation:
* M_tot: 2.26 μB/f.u.
* Fermi-level density of states: 3.7 states/eV/f.u.
* crystal system: cubic
* formation energy from the elements: 0.277 eV/atom

---

4.
An optimized crystal structure of LiMn2Re. Source: Alexandria, functional PBE.

Lattice parameters (Å, degrees): 4.871 4.871 4.871 146.32 129.14 62.40
Element x y z (fractional)
Li 0.000 0.000 0.000
Mn 0.253 0.753 0.500
Mn 0.484 0.484 0.000
Re 0.732 0.232 0.500

Values from the calculation:
* M_tot: 0.69 μB/f.u.
* Fermi-level density of states: 3.0 states/eV/f.u.
* crystal system: orthorhombic
* formation energy from the elements: 0.225 eV/atom

---

5.
An optimized crystal structure of Li2MnRe. Source: Alexandria, functional PBE.

Lattice parameters (Å, degrees): 2.455 2.455 8.991 90.00 90.00 90.00
Element x y z (fractional)
Li 0.000 0.000 0.247
Li 0.000 0.000 0.753
Mn 0.500 0.500 0.000
Re 0.500 0.500 0.500

Values from the calculation:
* M_tot: 1.00 μB/f.u.
* Fermi-level density of states: 2.9 states/eV/f.u.
* crystal system: tetragonal
* formation energy from the elements: 0.476 eV/atom

---

6.
An optimized crystal structure of LiMn2Re. Source: Alexandria, functional PBE.

Lattice parameters (Å, degrees): 2.979 3.955 4.238 90.00 90.00 90.00
Element x y z (fractional)
Li 0.000 0.000 0.000
Mn 0.000 0.500 0.500
Mn 0.500 0.500 0.000
Re 0.500 0.000 0.500

Values from the calculation:
* M_tot: 3.23 μB/f.u.
* Fermi-level density of states: 3.6 states/eV/f.u.
* crystal system: orthorhombic
* formation energy from the elements: 0.325 eV/atom

---

7.
An optimized crystal structure of Li2MnRe. Source: Alexandria, functional PBE.

Lattice parameters (Å, degrees): 2.620 2.620 9.494 90.00 90.00 118.17
Element x y z (fractional)
Li 0.000 0.000 0.249
Li 0.000 0.000 0.751
Mn 0.500 0.500 0.500
Re 0.500 0.500 0.000

Values from the calculation:
* M_tot: 2.90 μB/f.u.
* Fermi-level density of states: 4.0 states/eV/f.u.
* crystal system: orthorhombic
* formation energy from the elements: 0.356 eV/atom

---

8.
An optimized crystal structure of LiMn3Re. Source: Alexandria, functional PBE.

Lattice parameters (Å, degrees): 3.867 3.867 3.867 90.00 90.00 90.00
Element x y z (fractional)
Li 0.000 0.000 0.000
Mn 0.000 0.000 0.500
Mn 0.000 0.500 0.000
Mn 0.500 0.000 0.000
Re 0.500 0.500 0.500

Values from the calculation:
* M_tot: 2.62 μB/f.u.
* Fermi-level density of states: 4.3 states/eV/f.u.
* crystal system: cubic
* formation energy from the elements: 1.107 eV/atom

---

9.
An optimized crystal structure of LiMn2Re. Source: Alexandria, functional PBE.

Lattice parameters (Å, degrees): 4.757 4.757 4.757 137.09 137.09 62.30
Element x y z (fractional)
Li 0.000 0.000 0.000
Mn 0.250 0.750 0.500
Mn 0.500 0.500 0.000
Re 0.750 0.250 0.500

Values from the calculation:
* M_tot: 2.80 μB/f.u.
* Fermi-level density of states: 3.4 states/eV/f.u.
* crystal system: tetragonal
* formation energy from the elements: 0.308 eV/atom

---

10.
An optimized crystal structure of Li2MnRe. Source: Alexandria, functional PBE.

Lattice parameters (Å, degrees): 2.955 2.955 6.698 90.00 90.00 90.00
Element x y z (fractional)
Li 0.000 0.000 0.000
Li 0.500 0.500 0.281
Mn 0.000 0.000 0.545
Re 0.500 0.500 0.724

Values from the calculation:
* M_tot: 1.30 μB/f.u.
* Fermi-level density of states: 3.8 states/eV/f.u.
* crystal system: tetragonal
* formation energy from the elements: 0.280 eV/atom

---

11.
An optimized crystal structure of Li2MnRe. Source: Alexandria, functional PBE.

Lattice parameters (Å, degrees): 4.042 4.042 4.042 60.00 60.00 60.00
Element x y z (fractional)
Li 0.250 0.250 0.250
Li 0.750 0.750 0.750
Mn 0.000 0.000 0.000
Re 0.500 0.500 0.500

Values from the calculation:
* M_tot: 0.00 μB/f.u.
* Fermi-level density of states: 9.2 states/eV/f.u.
* crystal system: cubic
* formation energy from the elements: 1.006 eV/atom

---

12.
An optimized crystal structure of LiMn2Re. Source: Alexandria, functional PBE.

Lattice parameters (Å, degrees): 2.568 2.568 8.255 90.00 90.00 90.00
Element x y z (fractional)
Li 0.000 0.000 0.000
Mn 0.000 0.000 0.482
Mn 0.500 0.500 0.276
Re 0.500 0.500 0.729

Values from the calculation:
* M_tot: 0.31 μB/f.u.
* Fermi-level density of states: 4.1 states/eV/f.u.
* crystal system: tetragonal
* formation energy from the elements: 0.297 eV/atom

---

13.
An optimized crystal structure of LiMn2Re. Source: Alexandria, functional PBE.

Lattice parameters (Å, degrees): 2.626 2.626 8.726 90.00 90.00 111.58
Element x y z (fractional)
Li 0.000 0.000 0.000
Mn 0.500 0.500 0.263
Mn 0.500 0.500 0.737
Re 0.000 0.000 0.500

Values from the calculation:
* M_tot: 4.59 μB/f.u.
* Fermi-level density of states: 3.9 states/eV/f.u.
* crystal system: orthorhombic
* formation energy from the elements: 0.306 eV/atom

---

14.
An optimized crystal structure of LiMn2Re. Source: Alexandria, functional PBE.

Lattice parameters (Å, degrees): 4.316 4.316 2.808 90.00 90.00 97.85
Element x y z (fractional)
Li 0.000 0.000 0.000
Mn 0.000 0.500 0.500
Mn 0.500 0.000 0.500
Re 0.500 0.500 0.000

Values from the calculation:
* M_tot: 3.96 μB/f.u.
* Fermi-level density of states: 3.3 states/eV/f.u.
* crystal system: orthorhombic
* formation energy from the elements: 0.253 eV/atom

---

15.
An optimized crystal structure of Li2MnRe. Source: Alexandria, functional PBE.

Lattice parameters (Å, degrees): 2.558 4.015 5.578 90.00 90.00 90.00
Element x y z (fractional)
Li 0.000 0.000 0.000
Li 0.500 0.500 0.227
Mn 0.000 0.000 0.529
Re 0.500 0.500 0.705

Values from the calculation:
* M_tot: 2.22 μB/f.u.
* Fermi-level density of states: 3.2 states/eV/f.u.
* crystal system: orthorhombic
* formation energy from the elements: 0.289 eV/atom

---

16.
An optimized crystal structure of LiMn2Re. Source: Alexandria, functional PBE.

Lattice parameters (Å, degrees): 2.489 4.092 4.774 90.00 98.59 90.00
Element x y z (fractional)
Li 0.000 0.000 0.000
Mn 0.281 0.500 0.767
Mn 0.719 0.500 0.233
Re 0.500 0.000 0.500

Values from the calculation:
* M_tot: 0.00 μB/f.u.
* Fermi-level density of states: 3.9 states/eV/f.u.
* crystal system: monoclinic
* formation energy from the elements: 0.281 eV/atom

---

17.
An optimized crystal structure of Li2MnRe. Source: Alexandria, functional PBE.

Lattice parameters (Å, degrees): 4.093 4.093 4.093 60.00 60.00 60.00
Element x y z (fractional)
Li 0.000 0.000 0.000
Li 0.250 0.250 0.250
Mn 0.750 0.750 0.750
Re 0.500 0.500 0.500

Values from the calculation:
* M_tot: 0.01 μB/f.u.
* Fermi-level density of states: 3.4 states/eV/f.u.
* crystal system: cubic
* formation energy from the elements: 0.373 eV/atom

---

18.
An optimized crystal structure of LiMn2Re. Source: Alexandria, functional PBE.

Lattice parameters (Å, degrees): 2.506 4.011 4.968 90.00 90.00 90.00
Element x y z (fractional)
Li 0.000 0.000 0.000
Mn 0.000 0.000 0.490
Mn 0.500 0.500 0.222
Re 0.500 0.500 0.735

Values from the calculation:
* M_tot: 2.75 μB/f.u.
* Fermi-level density of states: 3.6 states/eV/f.u.
* crystal system: orthorhombic
* formation energy from the elements: 0.338 eV/atom

---

19.
An optimized crystal structure of Li2MnRe. Source: Alexandria, functional PBE.

Lattice parameters (Å, degrees): 4.406 4.406 5.193 92.36 92.36 32.78
Element x y z (fractional)
Li 0.000 0.000 0.000
Li 0.247 0.247 0.779
Mn 0.745 0.745 0.300
Re 0.499 0.499 0.479

Values from the calculation:
* M_tot: 0.74 μB/f.u.
* Fermi-level density of states: 2.9 states/eV/f.u.
* crystal system: monoclinic
* formation energy from the elements: 0.329 eV/atom

---

20.
An optimized crystal structure of Li2MnRe. Source: Alexandria, functional PBE.

Lattice parameters (Å, degrees): 5.313 5.313 2.577 100.65 100.65 124.53
Element x y z (fractional)
Li 0.000 0.500 0.000
Li 0.500 0.000 0.000
Mn 0.000 0.000 0.500
Re 0.500 0.500 0.500

Values from the calculation:
* M_tot: 2.36 μB/f.u.
* Fermi-level density of states: 2.9 states/eV/f.u.
* crystal system: monoclinic
* formation energy from the elements: 0.295 eV/atom

---

21.
An optimized crystal structure of LiMn2Re. Source: Alexandria, functional PBE.

Lattice parameters (Å, degrees): 5.293 5.293 5.293 103.76 103.76 121.62
Element x y z (fractional)
Li 0.000 0.000 0.000
Li 0.750 0.250 0.500
Mn 0.135 0.625 0.010
Mn 0.375 0.385 0.510
Mn 0.615 0.125 0.990
Mn 0.875 0.865 0.490
Re 0.250 0.750 0.500
Re 0.500 0.500 0.000

Values from the calculation:
* M_tot: 3.31 μB/f.u.
* Fermi-level density of states: 3.9 states/eV/f.u.
* crystal system: tetragonal
* formation energy from the elements: 0.745 eV/atom

---

22.
An optimized crystal structure of LiMn2Re. Source: Alexandria, functional PBE.

Lattice parameters (Å, degrees): 8.897 8.897 8.897 16.96 16.96 16.96
Element x y z (fractional)
Li 0.000 0.000 0.000
Mn 0.246 0.246 0.246
Mn 0.508 0.508 0.508
Re 0.759 0.759 0.759

Values from the calculation:
* M_tot: 0.30 μB/f.u.
* Fermi-level density of states: 4.2 states/eV/f.u.
* crystal system: trigonal
* formation energy from the elements: 0.285 eV/atom

---

23.
An optimized crystal structure of LiMn2Re. Source: Alexandria, functional PBE.

Lattice parameters (Å, degrees): 4.690 4.690 4.690 143.63 127.88 65.22
Element x y z (fractional)
Li 0.000 0.000 0.000
Mn 0.257 0.757 0.500
Mn 0.743 0.243 0.500
Re 0.500 0.500 0.000

Values from the calculation:
* M_tot: 0.00 μB/f.u.
* Fermi-level density of states: 4.1 states/eV/f.u.
* crystal system: orthorhombic
* formation energy from the elements: 0.322 eV/atom

---

24.
An optimized crystal structure of LiMn2Re2. Source: Alexandria, functional PBE.

Lattice parameters (Å, degrees): 7.241 7.241 2.662 90.00 90.00 90.00
Element x y z (fractional)
Li 0.000 0.000 0.000
Li 0.500 0.500 0.000
Mn 0.140 0.360 0.000
Mn 0.360 0.860 0.000
Mn 0.640 0.140 0.000
Mn 0.860 0.640 0.000
Re 0.153 0.653 0.500
Re 0.347 0.153 0.500
Re 0.653 0.847 0.500
Re 0.847 0.347 0.500

Values from the calculation:
* M_tot: 0.01 μB/f.u.
* Fermi-level density of states: 4.5 states/eV/f.u.
* crystal system: tetragonal
* formation energy from the elements: 0.221 eV/atom

---

25.
An optimized crystal structure of LiMn2Re. Source: Alexandria, functional PBE.

Lattice parameters (Å, degrees): 2.556 3.819 4.909 90.00 90.00 90.00
Element x y z (fractional)
Li 0.000 0.000 0.000
Mn 0.500 0.500 0.221
Mn 0.500 0.500 0.779
Re 0.000 0.000 0.500

Values from the calculation:
* M_tot: 0.01 μB/f.u.
* Fermi-level density of states: 4.6 states/eV/f.u.
* crystal system: orthorhombic
* formation energy from the elements: 0.377 eV/atom

---

26.
An optimized crystal structure of Li2MnRe. Source: Alexandria, functional PBE.

Lattice parameters (Å, degrees): 9.572 9.572 9.572 16.09 16.09 16.09
Element x y z (fractional)
Li 0.249 0.249 0.249
Li 0.751 0.751 0.751
Mn 0.000 0.000 0.000
Re 0.500 0.500 0.500

Values from the calculation:
* M_tot: 3.90 μB/f.u.
* Fermi-level density of states: 4.6 states/eV/f.u.
* crystal system: trigonal
* formation energy from the elements: 0.393 eV/atom

---

27.
An optimized crystal structure of LiMn2Re. Source: Alexandria, functional PBE.

Lattice parameters (Å, degrees): 4.845 4.845 2.526 101.06 101.06 115.98
Element x y z (fractional)
Li 0.000 0.000 0.000
Mn 0.000 0.500 0.500
Mn 0.500 0.000 0.500
Re 0.500 0.500 0.000

Values from the calculation:
* M_tot: 2.59 μB/f.u.
* Fermi-level density of states: 4.5 states/eV/f.u.
* crystal system: monoclinic
* formation energy from the elements: 0.295 eV/atom

---

28.
An optimized crystal structure of LiMn2Re. Source: Alexandria, functional PBE.

Lattice parameters (Å, degrees): 8.915 8.915 8.915 17.02 17.02 17.02
Element x y z (fractional)
Li 0.000 0.000 0.000
Mn 0.246 0.246 0.246
Mn 0.754 0.754 0.754
Re 0.500 0.500 0.500

Values from the calculation:
* M_tot: 1.16 μB/f.u.
* Fermi-level density of states: 3.5 states/eV/f.u.
* crystal system: trigonal
* formation energy from the elements: 0.344 eV/atom

---

29.
An optimized crystal structure of Li4MnRe. Source: Alexandria, functional PBE.

Lattice parameters (Å, degrees): 4.762 4.762 4.762 60.00 60.00 60.00
Element x y z (fractional)
Li 0.125 0.125 0.125
Li 0.125 0.125 0.624
Li 0.125 0.624 0.125
Li 0.624 0.125 0.125
Mn 0.750 0.750 0.750
Re 0.500 0.500 0.500

Values from the calculation:
* M_tot: 1.33 μB/f.u.
* Fermi-level density of states: 6.0 states/eV/f.u.
* crystal system: cubic
* formation energy from the elements: 0.565 eV/atom

---

30.
An optimized crystal structure of LiMn2Re. Source: Alexandria, functional PBE.

Lattice parameters (Å, degrees): 2.582 2.582 8.508 90.00 90.00 107.26
Element x y z (fractional)
Li 0.000 0.000 0.000
Mn 0.000 0.000 0.513
Mn 0.500 0.500 0.728
Re 0.500 0.500 0.270

Values from the calculation:
* M_tot: 0.46 μB/f.u.
* Fermi-level density of states: 4.3 states/eV/f.u.
* crystal system: orthorhombic
* formation energy from the elements: 0.262 eV/atom